The following is a DFT calculation (SCAN) of La2ZnPb at its PBEsol-relaxed geometry.

It has space group Imm2 (No. 44), with a = 4.149 Å, b = 4.944 Å, c = 10.587 Å, α = 90.00°, β = 90.00° and γ = 90.00°. The inequivalent atoms are La at (0.000, 0.000, 0.000), La at (0.000, 0.500, 0.221), Zn at (0.000, 0.000, 0.464) and Pb at (0.000, 0.500, 0.777).

As for the total magnetic moment: 0.000 μB/atom. The formation energy from the elements comes out at -0.5935 eV/atom. Its total energy is -44.470 eV per atom. Its calculated volume is 27.1 Å³/atom.